The following is a DFT calculation (PBE-GGA) of an optimized crystal structure of Er5ScHg3.

Calculated values
Symmetry   No. 193

a b c (Å): 6.7305 8.9591 8.9585
angles (deg): 120.00 90.00 90.00
Fractional coordinates of all 18 atoms:
1 Sc 0.0000 0.0000 0.0000
2 Sc 0.5000 0.0000 0.0000
3 Er 0.0000 0.3333 0.6666
4 Er 0.2500 0.3238 0.3237
5 Er 0.7500 0.0000 0.3237
6 Er 0.7500 0.6762 0.6763
7 Er 0.5000 0.6667 0.3334
8 Er 0.7500 0.3237 0.0000
9 Er 0.2500 0.0000 0.6763
10 Er 0.2500 0.6763 0.0000
11 Er 0.5000 0.3333 0.6666
12 Er 0.0000 0.6667 0.3334
13 Hg 0.7500 0.3394 0.3395
14 Hg 0.2500 0.6606 0.6605
15 Hg 0.7500 0.0000 0.6605
16 Hg 0.7500 0.6605 0.0000
17 Hg 0.2500 0.3395 0.0000
18 Hg 0.2500 0.0000 0.3395


The following is a DFT calculation (PBE-GGA) of an optimized crystal structure of Er2Sc3Hg2.

Calculated values
Symmetry   No. 12

a b c (Å): 5.1138 5.1155 8.1918
angles (deg): 108.18 90.00 119.99
Fractional coordinates of all 7 atoms:
1 Hg 0.7845 0.5690 0.8522
2 Hg 0.2155 0.4310 0.1478
3 Sc 0.3430 0.6860 0.5289
4 Sc 0.5000 0.0000 0.0000
5 Sc 0.6570 0.3140 0.4711
6 Er 0.0752 0.1504 0.7250
7 Er 0.9248 0.8496 0.2750


The following is a DFT calculation (PBE-GGA) of an optimized crystal structure of ErScHg.

Calculated values
Symmetry   No. 156
Energy relative to the lowest polymorph listed for this composition   152.9 meV per atom

a b c (Å): 3.5644 4.9647 4.9647
angles (deg): 120.00 90.00 90.00
Fractional coordinates of all 3 atoms:
1 Sc 0.1218 0.0000 0.0000
2 Hg 0.2337 0.3333 0.6667
3 Er 0.6445 0.6667 0.3333


The following is a DFT calculation (PBE-GGA) of an optimized crystal structure of ErScHg.

Calculated values
Symmetry   No. 107
Energy relative to the lowest polymorph listed for this composition   70.8 meV per atom

a b c (Å): 3.4469 3.4469 6.7667
angles (deg): 104.76 104.76 90.00
Each line ends with the local moment (μB).
Fractional coordinates of all 3 atoms:
1 Sc 0.6033 0.6033 0.2067  -0.37
2 Er 0.2892 0.2892 0.5784  -0.40
3 Hg 0.9575 0.9575 0.9149  -0.01


The following is a DFT calculation (PBE-GGA) of an optimized crystal structure of ErSc3Hg6.

Calculated values
Symmetry   No. 11

a b c (Å): 4.9842 8.8271 10.6897
angles (deg): 106.16 90.00 90.00
Fractional coordinates of all 20 atoms:
1 Er 0.7500 0.0622 0.3869
2 Er 0.2500 0.9378 0.6131
3 Sc 0.7500 0.6473 0.1938
4 Sc 0.7500 0.2378 0.0057
5 Sc 0.7500 0.4786 0.6079
6 Sc 0.2500 0.5214 0.3921
7 Sc 0.2500 0.7622 0.9943
8 Sc 0.2500 0.3527 0.8062
9 Hg 0.2500 0.2546 0.5200
10 Hg 0.7500 0.3639 0.2961
11 Hg 0.2500 0.6361 0.7039
12 Hg 0.7500 0.7454 0.4800
13 Hg 0.2500 0.0670 0.9083
14 Hg 0.7500 0.8563 0.7921
15 Hg 0.7500 0.5361 0.9046
16 Hg 0.7500 0.1745 0.6942
17 Hg 0.7500 0.9330 0.0917
18 Hg 0.2500 0.4639 0.0954
19 Hg 0.2500 0.1437 0.2079
20 Hg 0.2500 0.8255 0.3058


The following is a DFT calculation (PBE-GGA) of an optimized crystal structure of ErScHg.

Calculated values
Symmetry   No. 194
Energy relative to the lowest polymorph listed for this composition   36.0 meV per atom

a b c (Å): 5.0134 5.0134 6.7852
angles (deg): 90.00 90.00 119.98
Fractional coordinates of all 6 atoms:
1 Er 0.0000 0.5000 0.5000
2 Er 0.0000 0.5000 0.0000
3 Hg 0.3332 0.1668 0.7500
4 Hg 0.6668 0.8332 0.2500
5 Sc 0.6666 0.8334 0.7500
6 Sc 0.3334 0.1666 0.2500


The following is a DFT calculation (PBE-GGA) of an optimized crystal structure of ErScHg.

Calculated values
Symmetry   No. 62
Energy relative to the lowest polymorph listed for this composition   0.0 meV per atom

a b c (Å): 5.0566 8.9964 6.5370
angles (deg): 90.00 90.00 90.00
Fractional coordinates of all 12 atoms:
1 Sc 0.7500 0.2940 0.0144
2 Sc 0.2500 0.7060 0.9856
3 Sc 0.7500 0.2060 0.5144
4 Sc 0.2500 0.7940 0.4856
5 Hg 0.2500 0.0952 0.2780
6 Hg 0.2500 0.4048 0.7780
7 Hg 0.7500 0.9048 0.7220
8 Hg 0.7500 0.5952 0.2220
9 Er 0.7500 0.9232 0.1848
10 Er 0.2500 0.0768 0.8152
11 Er 0.7500 0.5768 0.6848
12 Er 0.2500 0.4232 0.3152


The following is a DFT calculation (PBE-GGA) of an optimized crystal structure of Er4ScHg5.

Calculated values
Symmetry   No. 123

a b c (Å): 3.6531 3.6531 18.3355
angles (deg): 90.00 90.00 90.00
Fractional coordinates of all 10 atoms:
1 Hg 0.5000 0.5000 0.5000
2 Hg 0.5000 0.5000 0.0914
3 Hg 0.5000 0.5000 0.2962
4 Hg 0.5000 0.5000 0.7038
5 Hg 0.5000 0.5000 0.9086
6 Er 0.0000 0.0000 0.6020
7 Er 0.0000 0.0000 0.3980
8 Er 0.0000 0.0000 0.8055
9 Er 0.0000 0.0000 0.1945
10 Sc 0.0000 0.0000 0.0000


Number 1: total DFT energy (no corrections) -3.653 eV/atom, M_tot 0.000 μB per atom. Number 2: total DFT energy (no corrections) -4.339 eV/atom, M_tot 0.000 μB per atom. Number 3: total DFT energy (no corrections) -3.927 eV/atom, M_tot 0.001 μB per atom. Number 4: total DFT energy (no corrections) -4.009 eV/atom, M_tot 0.380 μB per atom. Number 5: total DFT energy (no corrections) -2.902 eV/atom, M_tot 0.000 μB per atom. Number 6: total DFT energy (no corrections) -4.044 eV/atom, M_tot 0.000 μB per atom. Number 7: total DFT energy (no corrections) -4.080 eV/atom, M_tot 0.000 μB per atom. Number 8: total DFT energy (no corrections) -3.076 eV/atom, M_tot 0.000 μB per atom.